1.
## Ba2Tl4HgPd3 (PBE-GGA)

Data for a geometry-optimized Ba2Tl4HgPd3 structure.

Values from the calculation:
Mass density ... 9.661 g cm⁻³
ΔH_f (0 K) ... -0.36 eV/atom
Magnetic moment ... 0.00 μB per cell
Symmetry ... P-4m2
Electronic total energy ... -3.275 eV per atom

```
Ba2Tl4HgPd3
1.0
4.897 0.000 0.000
0.000 4.897 0.000
0.000 0.000 11.555
Ba Tl Hg Pd
2 4 1 3
Direct
0.500 0.000 0.252
0.000 0.500 0.748
0.500 0.500 0.000
0.000 0.000 0.000
0.500 0.000 0.635
0.000 0.500 0.365
0.500 0.500 0.500
0.000 0.000 0.500
0.500 0.000 0.873
0.000 0.500 0.127
```

2.
## LaTe2Pb (PBE-GGA)

Data for a geometry-optimized LaTe2Pb structure.

Values from the calculation:
Mass density ... 7.939 g cm⁻³
Magnetic moment ... 0.00 μB per cell
Symmetry ... F-43m
Electronic total energy ... -4.141 eV per atom

```
LaTe2Pb
1.0
5.624 0.000 0.000
2.812 4.870 0.000
2.812 1.623 4.592
La Pb Te
1 1 2
Direct
0.500 0.500 0.500
0.750 0.750 0.750
0.000 0.000 0.000
0.250 0.250 0.250
```

3.
## Pm2ErThAs4 (PBE-GGA)

Data for a geometry-optimized Pm2ErThAs4 structure.

Values from the calculation:
Mass density ... 7.799 g cm⁻³
ΔH_f (0 K) ... -1.51 eV/atom
Magnetic moment ... 0.00 μB per cell
Symmetry ... P2/m
Electronic total energy ... -6.520 eV per atom

```
Pm2ErThAs4
1.0
4.212 0.000 0.000
0.000 7.294 -0.151
0.000 2.561 6.801
Pm Er Th As
2 1 1 4
Direct
0.000 0.000 0.000
0.500 0.000 0.500
0.000 0.500 0.500
0.500 0.500 0.000
0.000 0.746 0.747
0.000 0.254 0.253
0.500 0.743 0.256
0.500 0.257 0.744
```

4.
## Ac2PmHf (PBE-GGA)

Data for a geometry-optimized Ac2PmHf structure.

Values from the calculation:
Mass density ... 9.098 g cm⁻³
ΔH_f (0 K) ... 0.55 eV/atom
Magnetic moment ... 0.00 μB per cell
Symmetry ... R-3m
Electronic total energy ... -5.183 eV per atom

```
Ac2PmHf
1.0
3.582 0.000 0.000
1.791 3.103 0.000
1.791 1.034 12.768
Ac Hf Pm
2 1 1
Direct
0.083 0.083 0.750
0.917 0.917 0.250
0.000 0.000 0.000
0.500 0.500 0.500
```

5.
## Cr2AgRh (PBE-GGA)

Data for a geometry-optimized Cr2AgRh structure.

Values from the calculation:
Mass density ... 9.375 g cm⁻³
ΔH_f (0 K) ... 0.40 eV/atom
Magnetic moment ... 0.00 μB per cell
Symmetry ... R-3m
Electronic total energy ... -6.962 eV per atom

```
Cr2AgRh
1.0
9.082 -0.013 -0.008
8.690 2.640 -0.008
8.690 1.284 2.306
Ag Cr Rh
1 2 1
Direct
0.250 0.250 0.250
0.005 0.005 0.005
0.495 0.495 0.495
0.750 0.750 0.750
```

6.
## KZnP2 (PBE-GGA)

Data for a geometry-optimized KZnP2 structure.

Values from the calculation:
Mass density ... 3.478 g cm⁻³
ΔH_f (0 K) ... 0.47 eV/atom
Magnetic moment ... 0.00 μB per cell
Symmetry ... P4/mmm
Electronic total energy ... -2.827 eV per atom

```
KZnP2
1.0
4.327 0.000 0.000
0.000 4.331 0.000
0.000 0.000 4.241
K P Zn
1 2 1
Direct
0.000 0.500 0.500
0.000 0.000 0.000
0.500 0.500 0.000
0.500 0.000 0.500
```

7.
## OsRhNO2 (PBE-GGA)

Data for a geometry-optimized OsRhNO2 structure.

Values from the calculation:
Mass density ... 9.638 g cm⁻³
Magnetic moment ... 3.52 μB per cell
Symmetry ... P4/mmm
Electronic total energy ... -5.927 eV per atom

```
OsRhNO2
1.0
-1.060 -1.661 3.404
1.700 -3.367 -1.114
3.251 1.125 1.561
Rh Os O N
1 1 2 1
Direct
0.500 0.500 0.500
0.000 0.000 0.500
0.000 0.500 0.000
0.500 0.000 0.000
0.000 0.000 0.000
```

8.
## PrYCdNi (PBE-GGA)

Data for a geometry-optimized PrYCdNi structure.

Values from the calculation:
Mass density ... 6.809 g cm⁻³
ΔH_f (0 K) ... -0.21 eV/atom
Magnetic moment ... 0.00 μB per cell
Symmetry ... F-43m
Electronic total energy ... -4.691 eV per atom

```
PrYCdNi
1.0
5.171 0.000 0.000
2.586 4.478 0.000
2.586 1.493 4.222
Pr Y Ni Cd
1 1 1 1
Direct
0.250 0.250 0.250
0.750 0.750 0.750
0.500 0.500 0.500
0.000 0.000 0.000
```

9.
## Ac2La8Tb (PBE-GGA)

Data for a geometry-optimized Ac2La8Tb structure.

Values from the calculation:
Energy relative to the lowest polymorph listed for this composition ... 3.6 meV/atom
Mass density ... 6.829 g cm⁻³
ΔH_f (0 K) ... 0.12 eV/atom
Magnetic moment ... 0.00 μB per cell
Symmetry ... C2/m
Electronic total energy ... -4.630 eV per atom

```
Ac2La8Tb
1.0
5.948 1.854 0.000
2.859 9.002 0.000
1.429 4.501 8.691
Ac La Tb
2 8 1
Direct
0.000 0.309 0.383
0.000 0.691 0.617
0.812 0.099 0.229
0.812 0.328 0.771
0.300 0.420 0.000
0.500 0.800 0.400
0.500 0.200 0.600
0.700 0.580 0.000
0.188 0.672 0.229
0.188 0.901 0.771
0.500 0.000 0.000
```

10.
## PuCuPb2O8 (PBE-GGA)

Data for a geometry-optimized PuCuPb2O8 structure.

Values from the calculation:
Mass density ... 8.069 g cm⁻³
Magnetic moment ... 1.48 μB per cell
Symmetry ... P-1
Electronic total energy ... -6.783 eV per atom

```
PuCuPb2O8
1.0
5.116 -0.209 -0.234
-0.183 5.112 0.224
-0.300 0.320 6.724
Pu Cu Pb O
1 1 2 8
Direct
0.000 0.000 0.000
0.000 0.000 0.500
0.450 0.550 0.733
0.550 0.450 0.267
0.202 0.796 0.185
0.694 0.696 0.000
0.847 0.153 0.255
0.798 0.204 0.815
0.306 0.304 0.000
0.153 0.847 0.745
0.716 0.717 0.500
0.284 0.283 0.500
```

11.
## AgSbW (PBE-GGA)

Data for a geometry-optimized AgSbW structure.

Values from the calculation:
Energy relative to the lowest polymorph listed for this composition ... 23.5 meV/atom
Mass density ... 10.686 g cm⁻³
Magnetic moment ... 0.00 μB per cell
Symmetry ... I4mm
Electronic total energy ... -5.927 eV per atom

```
AgSbW
1.0
-7.581 -0.375 0.481
-6.124 -1.639 4.203
6.799 2.985 -1.649
Sb Ag W
1 1 1
Direct
0.694 0.694 0.000
0.970 0.970 0.000
0.336 0.336 0.000
```

12.
## Dy4HoTh5 (PBE-GGA)

Data for a geometry-optimized Dy4HoTh5 structure.

Values from the calculation:
Mass density ... 10.173 g cm⁻³
ΔH_f (0 K) ... 0.13 eV/atom
Magnetic moment ... 0.00 μB per cell
Symmetry ... C2/m
Electronic total energy ... -5.877 eV per atom

```
Dy4HoTh5
1.0
-1.321 0.817 3.071
-8.971 -6.267 -2.191
2.365 -8.537 1.359
Dy Ho Th
4 1 5
Direct
0.303 0.089 0.607
0.907 0.808 0.813
0.697 0.911 0.393
0.093 0.192 0.187
0.500 0.000 0.000
0.803 0.594 0.606
0.891 0.294 0.782
0.109 0.706 0.218
0.500 0.500 0.000
0.197 0.406 0.394
```

13.
## Tb3Ho12Cd (PBE-GGA)

Data for a geometry-optimized Tb3Ho12Cd structure.

Values from the calculation:
Mass density ... 8.743 g cm⁻³
ΔH_f (0 K) ... 0.00 eV/atom
Magnetic moment ... 0.00 μB per cell
Symmetry ... P4/mmm
Electronic total energy ... -4.363 eV per atom

```
Tb3Ho12Cd
1.0
-1.185 -3.097 -3.666
-3.162 -2.337 2.996
-14.579 12.370 -5.738
Tb Ho Cd
3 12 1
Direct
0.000 0.000 0.248
0.000 0.000 0.500
0.000 0.000 0.752
0.500 0.500 0.000
0.500 0.500 0.244
0.500 0.500 0.500
0.500 0.500 0.756
0.500 0.000 0.121
0.500 0.000 0.373
0.500 0.000 0.627
0.500 0.000 0.879
0.000 0.500 0.121
0.000 0.500 0.373
0.000 0.500 0.627
0.000 0.500 0.879
0.000 0.000 0.000
```

14.
## NdUBi2 (PBE-GGA)

Data for a geometry-optimized NdUBi2 structure.

Values from the calculation:
Energy relative to the lowest polymorph listed for this composition ... 0.0 meV/atom
Mass density ... 11.214 g cm⁻³
ΔH_f (0 K) ... -0.27 eV/atom
Magnetic moment ... 3.51 μB per cell
Symmetry ... P4/mmm
Electronic total energy ... -6.220 eV per atom

```
NdUBi2
1.0
-1.998 -2.019 1.836
-1.738 -2.767 -4.935
4.448 -3.859 0.597
Nd U Bi
1 1 2
Direct
0.500 0.000 0.000
0.500 0.500 0.500
0.000 0.000 0.500
0.000 0.500 0.000
```